No. 1
A relaxed Sm4ZnI5 crystal. Source: OQMD via LeMat-Bulk, functional PBE.

abc: 9.9212 9.9212 9.1327
angles: 102.24 102.24 24.29
Sites, in units of the cell vectors:
I: 0.8267 0.8267 0.1755
I: 0.1672 0.1672 0.3403
I: 0.5000 0.5000 0.5000
I: 0.8328 0.8328 0.6597
I: 0.1733 0.1733 0.8245
Sm: 0.6497 0.6497 0.0751
Sm: 0.0000 0.0000 0.2210
Sm: 0.0000 0.0000 0.7790
Sm: 0.3503 0.3503 0.9249
Zn: 0.5000 0.5000 0.0000

Output
Energy, eV/atom: -3.832



No. 2
A relaxed Ta3Sn3I2 crystal. Source: OQMD via LeMat-Bulk, functional PBE.

abc: 8.0395 8.0395 8.0395
angles: 41.30 41.30 41.30
Sites, in units of the cell vectors:
I: 0.2240 0.2240 0.2240
I: 0.7760 0.7760 0.7760
Sn: 0.0648 0.0648 0.0648
Sn: 0.5000 0.5000 0.5000
Sn: 0.9352 0.9352 0.9352
Ta: 0.5000 0.5000 0.0000
Ta: 0.5000 0.0000 0.5000
Ta: 0.0000 0.5000 0.5000

Output
Energy, eV/atom: -5.917



No. 3
A relaxed TaI crystal. Source: OQMD via LeMat-Bulk, functional PBE.

abc: 4.0786 4.0786 4.0786
angles: 60.00 60.00 60.00
Sites, in units of the cell vectors:
I: 0.0000 0.0000 0.0000
Ta: 0.5000 0.5000 0.5000

Output
Relative energy among the computed polymorphs, meV/atom: 707



No. 4
A relaxed TaI crystal. Source: OQMD via LeMat-Bulk, functional PBE.

abc: 4.4242 4.4242 4.4242
angles: 60.00 60.00 60.00
Last column: magnetic moment on the atom in μB.
Sites, in units of the cell vectors:
I: 0.0000 0.0000 0.0000  0.00
Ta: 0.2500 0.2500 0.2500  1.01

Output
Relative energy among the computed polymorphs, meV/atom: 678



No. 5
A relaxed TaI2 crystal. Source: OQMD via LeMat-Bulk, functional PBE.

abc: 4.8987 4.8987 4.8987
angles: 60.00 60.00 60.00
Last column: magnetic moment on the atom in μB.
Sites, in units of the cell vectors:
I: 0.2500 0.2500 0.2500  -0.02
I: 0.7500 0.7500 0.7500  -0.02
Ta: 0.0000 0.0000 0.0000  0.70

Output
Energy, eV/atom: -4.415



No. 6
A relaxed TaI4 crystal. Source: OQMD via LeMat-Bulk, functional PBE.

abc: 8.5548 8.5548 13.0676
angles: 107.46 107.46 90.08
Last column: magnetic moment on the atom in μB.
Sites, in units of the cell vectors:
I: 0.4025 0.6962 0.1110  0.00
I: 0.9490 0.1664 0.1113  -0.02
I: 0.4208 0.1760 0.1368  0.00
I: 0.9505 0.7250 0.1383  -0.01
I: 0.2750 0.0495 0.3617  -0.01
I: 0.8240 0.5792 0.3632  0.00
I: 0.8336 0.0510 0.3887  -0.02
I: 0.3038 0.5975 0.3890  0.00
I: 0.6963 0.4025 0.6110  0.00
I: 0.1664 0.9490 0.6113  -0.02
I: 0.1760 0.4208 0.6368  0.00
I: 0.7250 0.9505 0.6383  -0.01
I: 0.0495 0.2750 0.8617  -0.01
I: 0.5792 0.8240 0.8632  0.00
I: 0.0510 0.8336 0.8887  -0.02
I: 0.5975 0.3038 0.8890  0.00
Ta: 0.2058 0.9391 0.1259  0.74
Ta: 0.0609 0.7942 0.3741  0.71
Ta: 0.9391 0.2058 0.6259  0.71
Ta: 0.7942 0.0609 0.8741  0.74

Output
Energy, eV/atom: -3.962



No. 7
A relaxed TaI2 crystal. Source: OQMD via LeMat-Bulk, functional PBE.

abc: 6.2896 6.2896 6.2896
angles: 60.00 60.00 60.00
Last column: magnetic moment on the atom in μB.
Sites, in units of the cell vectors:
I: 0.6250 0.6250 0.1250  0.01
I: 0.6250 0.1250 0.6250  0.00
I: 0.1250 0.6250 0.6250  -0.01
I: 0.6250 0.6250 0.6250  0.01
Ta: 0.0000 0.0000 0.0000  0.18
Ta: 0.2500 0.2500 0.2500  0.18

Output
Energy, eV/atom: -2.812



No. 8
A relaxed TaI4 crystal. Source: OQMD via LeMat-Bulk, functional PBE.

abc: 8.0349 8.0349 14.8941
angles: 90.00 90.00 122.44
Sites, in units of the cell vectors:
I: 0.2394 0.2720 0.0271
I: 0.7280 0.7606 0.0271
I: 0.4878 0.0256 0.2265
I: 0.9744 0.5122 0.2265
I: 0.4920 0.5080 0.2928
I: 0.0129 0.9871 0.3057
I: 0.2347 0.7653 0.4479
I: 0.7554 0.2446 0.4611
I: 0.2720 0.2394 0.5271
I: 0.7606 0.7280 0.5271
I: 0.0256 0.4878 0.7265
I: 0.5122 0.9744 0.7265
I: 0.5080 0.4920 0.7928
I: 0.9871 0.0129 0.8057
I: 0.7653 0.2347 0.9479
I: 0.2446 0.7554 0.9611
Ta: 0.4130 0.1654 0.3769
Ta: 0.8346 0.5870 0.3769
Ta: 0.1654 0.4130 0.8769
Ta: 0.5870 0.8346 0.8769

Output
Energy, eV/atom: -4.026



No. 9
A relaxed TaI4 crystal. Source: OQMD via LeMat-Bulk, functional PBE.

abc: 7.4754 11.0079 11.1256
angles: 81.15 89.01 74.68
Sites, in units of the cell vectors:
I: 0.9720 0.3145 0.0375
I: 0.2301 0.9477 0.0722
I: 0.5290 0.2410 0.1690
I: 0.5829 0.5640 0.1943
I: 0.7996 0.8826 0.2791
I: 0.0661 0.4512 0.3329
I: 0.1121 0.1012 0.3528
I: 0.6613 0.2901 0.4952
I: 0.3387 0.7099 0.5048
I: 0.8879 0.8988 0.6472
I: 0.9339 0.5488 0.6671
I: 0.2004 0.1174 0.7209
I: 0.4171 0.4360 0.8057
I: 0.4710 0.7590 0.8310
I: 0.7699 0.0523 0.9278
I: 0.0280 0.6855 0.9625
Ta: 0.8868 0.0910 0.1630
Ta: 0.8122 0.3270 0.2775
Ta: 0.1878 0.6730 0.7225
Ta: 0.1132 0.9090 0.8370

Output
Energy, eV/atom: -4.042



No. 10
A relaxed TaI4 crystal. Source: OQMD via LeMat-Bulk, functional PBE.

abc: 7.8167 7.8167 12.9203
angles: 114.47 114.47 49.52
Last column: magnetic moment on the atom in μB.
Sites, in units of the cell vectors:
I: 0.3922 0.3703 0.0720  0.00
I: 0.0958 0.1439 0.1933  0.00
I: 0.8561 0.9042 0.3067  0.00
I: 0.6297 0.6078 0.4280  0.00
I: 0.3703 0.3922 0.5720  0.00
I: 0.1439 0.0958 0.6933  0.00
I: 0.9042 0.8561 0.8067  0.00
I: 0.6078 0.6297 0.9280  0.00
Ta: 0.7427 0.2573 0.2500  0.71
Ta: 0.2573 0.7427 0.7500  0.71

Output
Energy, eV/atom: -3.907



No. 11
A relaxed TaI crystal. Source: OQMD via LeMat-Bulk, functional PBE.

abc: 3.3378 3.3378 4.5287
angles: 90.00 90.00 120.00
Sites, in units of the cell vectors:
I: 0.6667 0.3333 0.7500
Ta: 0.3333 0.6667 0.2500

Output
Relative energy among the computed polymorphs, meV/atom: 0



No. 12
A relaxed TaI5 crystal. Source: OQMD via LeMat-Bulk, functional PBE.

abc: 8.7851 8.7851 9.4407
angles: 90.00 90.00 120.00
Sites, in units of the cell vectors:
I: 0.6667 0.3333 0.0380
I: 0.1583 0.3166 0.2500
I: 0.1583 0.8417 0.2500
I: 0.6834 0.8417 0.2500
I: 0.6667 0.3333 0.4620
I: 0.3333 0.6667 0.5380
I: 0.3166 0.1583 0.7500
I: 0.8417 0.1583 0.7500
I: 0.8417 0.6834 0.7500
I: 0.3333 0.6667 0.9620
Ta: 0.3333 0.6667 0.2500
Ta: 0.6667 0.3333 0.7500

Output
Energy, eV/atom: -3.673



No. 13
A relaxed TaI2 crystal. Source: OQMD via LeMat-Bulk, functional PBE.

abc: 8.6147 8.6147 8.6147
angles: 60.00 60.00 60.00
Last column: magnetic moment on the atom in μB.
Sites, in units of the cell vectors:
I: 0.8750 0.3750 0.3750  0.00
I: 0.3750 0.3750 0.3750  0.00
I: 0.3750 0.8750 0.3750  0.00
I: 0.3750 0.3750 0.8750  0.00
Ta: 0.2500 0.2500 0.2500  0.08
Ta: 0.5000 0.5000 0.5000  0.08

Output
Energy, eV/atom: -4.256



No. 14
A relaxed TaI5 crystal. Source: OQMD via LeMat-Bulk, functional PBE.

abc: 14.7981 20.7890 6.9805
angles: 90.00 90.00 90.00
Sites, in units of the cell vectors:
I: 0.8013 0.7500 0.2157
I: 0.0520 0.2500 0.2198
I: 0.0242 0.6510 0.2241
I: 0.0242 0.8490 0.2241
I: 0.2751 0.1509 0.2283
I: 0.2751 0.3491 0.2283
I: 0.7933 0.5612 0.2413
I: 0.7933 0.9388 0.2413
I: 0.0439 0.0616 0.2459
I: 0.0439 0.4384 0.2459
I: 0.5439 0.0616 0.2541
I: 0.5439 0.4384 0.2541
I: 0.2933 0.5612 0.2587
I: 0.2933 0.9388 0.2587
I: 0.7751 0.1509 0.2717
I: 0.7751 0.3491 0.2717
I: 0.5242 0.6510 0.2759
I: 0.5242 0.8490 0.2759
I: 0.5520 0.2500 0.2802
I: 0.3013 0.7500 0.2843
I: 0.6987 0.2500 0.7157
I: 0.4480 0.7500 0.7198
I: 0.4758 0.1510 0.7241
I: 0.4758 0.3490 0.7241
I: 0.2249 0.6509 0.7283
I: 0.2249 0.8491 0.7283
I: 0.7067 0.0612 0.7413
I: 0.7067 0.4388 0.7413
I: 0.4561 0.5616 0.7459
I: 0.4561 0.9384 0.7459
I: 0.9561 0.5616 0.7541
I: 0.9561 0.9384 0.7541
I: 0.2067 0.0612 0.7587
I: 0.2067 0.4388 0.7587
I: 0.7249 0.6509 0.7717
I: 0.7249 0.8491 0.7717
I: 0.9758 0.1510 0.7759
I: 0.9758 0.3490 0.7759
I: 0.9480 0.7500 0.7802
I: 0.1987 0.2500 0.7843
Ta: 0.1254 0.1410 0.0021
Ta: 0.1254 0.3590 0.0021
Ta: 0.6254 0.1410 0.4979
Ta: 0.6254 0.3590 0.4979
Ta: 0.3746 0.6410 0.5021
Ta: 0.3746 0.8590 0.5021
Ta: 0.8746 0.6410 0.9979
Ta: 0.8746 0.8590 0.9979

Output
Energy, eV/atom: -3.698



No. 15
A relaxed Ta3TcI crystal. Source: OQMD via LeMat-Bulk, functional PBE.

abc: 4.8924 4.8924 4.8924
angles: 90.00 90.00 90.00
Last column: magnetic moment on the atom in μB.
Sites, in units of the cell vectors:
I: 0.0000 0.0000 0.0000  0.02
Ta: 0.5000 0.0000 0.0000  -0.07
Ta: 0.0000 0.5000 0.0000  -0.02
Ta: 0.0000 0.0000 0.5000  -0.06
Tc: 0.5000 0.5000 0.5000  2.07

Output
Energy, eV/atom: -7.015



No. 16
A relaxed Ta7Te24I10 crystal. Source: OQMD via LeMat-Bulk, functional PBE.

abc: 6.8838 8.0788 27.4726
angles: 95.85 90.60 101.69
Sites, in units of the cell vectors:
I: 0.7081 0.7684 0.0371
I: 0.8402 0.2647 0.0445
I: 0.2387 0.0084 0.0830
I: 0.4604 0.8536 0.3371
I: 0.8978 0.5743 0.3752
I: 0.1022 0.4257 0.6248
I: 0.5396 0.1464 0.6629
I: 0.7613 0.9916 0.9170
I: 0.1598 0.7353 0.9555
I: 0.2919 0.2316 0.9629
Ta: 0.0000 0.0000 0.0000
Ta: 0.6093 0.4353 0.2145
Ta: 0.1091 0.4372 0.2146
Ta: 0.7497 0.0010 0.4998
Ta: 0.2503 0.9990 0.5002
Ta: 0.8909 0.5628 0.7854
Ta: 0.3907 0.5647 0.7855
Te: 0.3541 0.4318 0.1301
Te: 0.9061 0.6457 0.1619
Te: 0.7979 0.1788 0.1657
Te: 0.4260 0.7174 0.1994
Te: 0.2919 0.1562 0.2311
Te: 0.9196 0.6845 0.2662
Te: 0.8128 0.2306 0.2682
Te: 0.3666 0.4527 0.2987
Te: 0.9940 0.9864 0.4157
Te: 0.5467 0.2091 0.4472
Te: 0.4392 0.7493 0.4488
Te: 0.0673 0.2802 0.4837
Te: 0.9327 0.7198 0.5163
Te: 0.5608 0.2507 0.5512
Te: 0.4533 0.7909 0.5528
Te: 0.0060 0.0136 0.5843
Te: 0.6334 0.5473 0.7013
Te: 0.1872 0.7694 0.7318
Te: 0.0804 0.3155 0.7338
Te: 0.7081 0.8438 0.7689
Te: 0.5740 0.2826 0.8006
Te: 0.2021 0.8212 0.8343
Te: 0.0939 0.3543 0.8381
Te: 0.6459 0.5682 0.8699

Output
Energy, eV/atom: -4.537



No. 17
A relaxed Tb2I crystal. Source: OQMD via LeMat-Bulk, functional PBE.

abc: 6.6504 6.6504 6.6504
angles: 60.00 60.00 60.00
Sites, in units of the cell vectors:
I: 0.0000 0.0000 0.0000
I: 0.2500 0.2500 0.2500
Tb: 0.6250 0.6250 0.1250
Tb: 0.6250 0.1250 0.6250
Tb: 0.1250 0.6250 0.6250
Tb: 0.6250 0.6250 0.6250

Output
Energy, eV/atom: -3.438



No. 18
A relaxed TbI crystal. Source: OQMD via LeMat-Bulk, functional PBE.

abc: 3.8250 3.8250 4.6334
angles: 90.00 90.00 120.00
Sites, in units of the cell vectors:
I: 0.6667 0.3333 0.7500
Tb: 0.3333 0.6667 0.2500

Output
Energy, eV/atom: -3.878



No. 19
A relaxed TbI crystal. Source: OQMD via LeMat-Bulk, functional PBE.

abc: 4.8859 4.8859 4.8859
angles: 60.00 60.00 60.00
Last column: magnetic moment on the atom in μB.
Sites, in units of the cell vectors:
I: 0.0000 0.0000 0.0000  0.01
Tb: 0.2500 0.2500 0.2500  0.17

Output
Energy, eV/atom: -3.201



No. 20
A relaxed TbI2 crystal. Source: OQMD via LeMat-Bulk, functional PBE.

abc: 6.7915 6.7915 6.7915
angles: 60.00 60.00 60.00
Last column: magnetic moment on the atom in μB.
Sites, in units of the cell vectors:
I: 0.6250 0.6250 0.1250  0.14
I: 0.6250 0.1250 0.6250  0.07
I: 0.1250 0.6250 0.6250  0.01
I: 0.6250 0.6250 0.6250  0.12
Tb: 0.0000 0.0000 0.0000  0.64
Tb: 0.2500 0.2500 0.2500  0.64

Output
Energy, eV/atom: -2.228